Density functional theory data (PBE) for an optimized crystal structure of CaPrTlAu.

a b c (Å): 5.372 5.372 5.372
angles (deg): 60.00 60.00 60.00
Positions (direct):
Au 0.000 0.000 0.000
Pr 0.750 0.750 0.750
Ca 0.250 0.250 0.250
Tl 0.500 0.500 0.500

## Properties
As for the total moment: 0.0 μB/cell. The value obtained for the energy relative to the lowest polymorph listed for this composition is 0.03 eV/f.u. The space-group type is F-43m (216).

=====

Density functional theory data (PBE) for an optimized crystal structure of CaPrTlAu.

a b c (Å): 3.745 3.745 7.886
angles (deg): 90.00 90.00 90.00
Positions (direct):
Tl 0.500 0.500 0.109
Au 0.500 0.500 0.607
Pr 0.000 0.000 0.836
Ca 0.000 0.000 0.376

## Properties
As for the total moment: 0.0 μB/cell. The value obtained for the energy relative to the lowest polymorph listed for this composition is 0.00 eV/f.u. The space-group type is P4mm (99).

=====

Density functional theory data (PBE) for an optimized crystal structure of Ca2PrTmAu4.

a b c (Å): 5.127 5.127 8.930
angles (deg): 73.32 73.32 60.00
Positions (direct):
Ca 0.249 0.249 0.253
Ca 0.751 0.751 0.747
Tm 0.500 0.500 0.500
Au 0.872 0.872 0.384
Au 0.128 0.128 0.616
Au 0.619 0.619 0.142
Au 0.381 0.381 0.858
Pr 0.000 0.000 0.000

## Properties
As for the uncorrected energy: -4.098 eV/atom. As for the total moment: 0.0 μB/cell. The space-group type is R-3m (166).

=====

Density functional theory data (PBE) for an optimized crystal structure of CaPrY2Au4.

a b c (Å): 5.151 5.151 8.964
angles (deg): 73.30 73.30 60.00
Positions (direct):
Au 0.124 0.124 0.629
Au 0.625 0.625 0.126
Au 0.375 0.375 0.874
Au 0.876 0.876 0.371
Ca 0.500 0.500 0.500
Y 0.247 0.247 0.259
Y 0.753 0.753 0.741
Pr 0.000 0.000 0.000

## Properties
As for the uncorrected energy: -4.905 eV/atom. As for the total moment: 0.0 μB/cell. The space-group type is R-3m (166).

=====

Density functional theory data (PBE) for an optimized crystal structure of Ca2PrYAu4.

a b c (Å): 5.157 5.157 8.945
angles (deg): 73.25 73.25 60.00
Positions (direct):
Y 0.500 0.500 0.500
Pr 0.000 0.000 0.000
Au 0.378 0.378 0.865
Au 0.127 0.127 0.618
Au 0.873 0.873 0.382
Au 0.622 0.622 0.135
Ca 0.751 0.751 0.748
Ca 0.249 0.249 0.252

## Properties
As for the uncorrected energy: -4.351 eV/atom. As for the total moment: 0.0 μB/cell. The space-group type is R-3m (166).

=====

Density functional theory data (PBE) for an optimized crystal structure of CaPrZnAu.

a b c (Å): 5.216 5.216 5.216
angles (deg): 60.00 60.00 60.00
Positions (direct):
Ca 0.250 0.250 0.250
Zn 0.000 0.000 0.000
Pr 0.750 0.750 0.750
Au 0.500 0.500 0.500

## Properties
As for the uncorrected energy: -3.372 eV/atom. As for the total moment: 0.0 μB/cell. The space-group type is F-43m (216).

=====

Density functional theory data (PBE) for an optimized crystal structure of CaPtAu11.

a b c (Å): 5.667 7.354 7.258
angles (deg): 80.78 67.02 65.77
Positions (direct):
Au 0.018 0.652 0.344
Au 0.288 0.215 0.214
Au 0.362 0.652 0.656
Au 0.500 0.000 0.500
Au 0.000 0.500 0.000
Au 0.000 0.000 0.500
Au 0.982 0.348 0.656
Au 0.502 0.215 0.786
Au 0.712 0.785 0.786
Au 0.498 0.785 0.214
Au 0.638 0.348 0.344
Ca 0.000 0.000 0.000
Pt 0.500 0.500 0.000

## Properties
As for the uncorrected energy: -3.565 eV/atom. As for the total moment: 0.0 μB/cell. The space-group type is C2/m (12).

=====

Density functional theory data (PBE) for an optimized crystal structure of CaPtAu.

a b c (Å): 5.248 5.248 5.248
angles (deg): 139.03 139.03 59.32
Positions (direct):
Pt 0.662 0.662 0.000
Ca 0.330 0.330 0.000
Au 0.007 0.007 0.000

## Properties
As for the total moment: 0.0 μB/cell. The value obtained for the energy relative to the lowest polymorph listed for this composition is 0.73 eV/f.u. The space-group type is I4mm (107).

=====

Density functional theory data (PBE) for an optimized crystal structure of Ca3Pt2Au.

a b c (Å): 3.528 5.030 7.932
angles (deg): 108.49 90.00 90.00
Positions (direct):
Pt 0.000 0.664 0.327
Pt 0.000 0.336 0.673
Ca 0.500 0.173 0.346
Ca 0.500 0.827 0.654
Ca 0.500 0.500 0.000
Au 0.000 0.000 0.000

## Properties
As for the uncorrected energy: -4.424 eV/atom. As for the total moment: 0.0 μB/cell. The space-group type is Cmmm (65).

=====

Density functional theory data (PBE) for an optimized crystal structure of CaPt2Au.

a b c (Å): 5.193 5.193 5.193
angles (deg): 133.10 133.10 68.50
Positions (direct):
Pt 0.000 0.000 0.000
Pt 0.500 0.500 0.000
Au 0.250 0.750 0.500
Ca 0.750 0.250 0.500

## Properties
As for the uncorrected energy: -4.856 eV/atom. As for the total moment: 0.0 μB/cell. The space-group type is I4/mmm (139).

=====

Density functional theory data (PBE) for an optimized crystal structure of CaPt3Au.

a b c (Å): 4.890 4.890 4.890
angles (deg): 90.00 90.00 90.00
Positions (direct):
Pt 0.000 0.000 0.500
Pt 0.500 0.000 0.000
Pt 0.000 0.500 0.000
Ca 0.000 0.000 0.000
Au 0.500 0.500 0.500

## Properties
As for the total moment: 0.0 μB/cell. The value obtained for the energy relative to the lowest polymorph listed for this composition is 3.94 eV/f.u. The space-group type is Pm-3m (221).

=====

Density functional theory data (PBE) for an optimized crystal structure of CaPt2Au.

a b c (Å): 4.705 2.958 5.496
angles (deg): 87.96 90.00 90.00
Positions (direct):
Ca 0.500 0.750 0.750
Pt 0.000 0.287 0.507
Pt 0.000 0.213 0.993
Au 0.500 0.250 0.250

## Properties
As for the uncorrected energy: -4.739 eV/atom. As for the total moment: 0.0 μB/cell. The space-group type is P2/m (10).

=====

Question: Number 12 is which compound?
Answer: CaPt2Au

=====

Question: Which value of total moment does entry 3 give?
Answer: 0.0 μB/cell